Compound: AgH11Pt5
Source: the Alexandria database
Functional: PBE-GGA
Structure: relaxed

The structure belongs to space group C2/m (No. 12); the cell edges are 5.730, 9.735 and 6.015 Å and the angles 90.00°, 99.52° and 90.00°. The distinct sites, in fractional coordinates, are Ag at (0.000, 0.000, 0.000), H at (0.000, 0.000, 0.500), H at (0.093, 0.500, 0.325), H at (0.114, 0.206, 0.341), H at (0.182, 0.350, 0.054), Pt at (0.000, 0.500, 0.000) and Pt at (0.208, 0.148, 0.659).

The value obtained for the mass density is 11.0 g/cm3. For the electronic total energy, the calculation gives -136.26 eV for the cell shown.

---

Compound: AgHPt2
Source: the Alexandria database
Functional: PBE-GGA
Structure: relaxed

The structure belongs to space group R-3m (No. 166, hexagonal axes); the cell edges are 2.8185, 2.8185 and 22.4175 Å and the angles 90.00°, 90.00° and 120.00°. The distinct sites, in fractional coordinates, are Ag at (0.0000, 0.0000, 0.0000), H at (0.0000, 0.0000, 0.5000) and Pt at (0.0000, 0.0000, 0.2256).

The value obtained for the mass density is 16.1 g/cm3. For the electronic total energy, the calculation gives -54.01 eV for the cell shown.

---

Compound: Ag3HPt2
Source: the Alexandria database
Functional: PBE-GGA
Structure: relaxed

The structure belongs to space group C2/c (No. 15); the cell edges are 7.574, 9.310 and 5.577 Å and the angles 90.00°, 103.44° and 90.00°. The distinct sites, in fractional coordinates, are Ag at (0.000, 0.049, 0.250), Ag at (0.183, 0.237, 0.725), H at (0.000, 0.398, 0.250) and Pt at (0.165, 0.500, 0.442).

The value obtained for the mass density is 12.4 g/cm3. For the electronic total energy, the calculation gives -94.12 eV for the cell shown.

---

Compound: AgH6Pt4
Source: the Alexandria database
Functional: PBE-GGA
Structure: relaxed

The structure belongs to space group P1 (No. 1); the cell edges are 4.921, 4.988 and 5.388 Å and the angles 70.49°, 66.14° and 75.34°. The distinct sites, in fractional coordinates, are Ag at (0.000, 0.000, 0.000), H at (0.106, 0.385, 0.121), H at (0.286, 0.606, 0.685), H at (0.374, 0.584, 0.228), H at (0.415, 0.135, 0.822), H at (0.704, 0.674, 0.333), H at (0.775, 0.230, 0.428), Pt at (0.354, 0.863, 0.383), Pt at (0.478, 0.406, 0.939), Pt at (0.714, 0.916, 0.673) and Pt at (0.992, 0.434, 0.461).

The value obtained for the mass density is 13.2 g/cm3. For the electronic total energy, the calculation gives -45.94 eV for the cell shown.

---

Compound: AgH8Pt2
Source: the Alexandria database
Functional: PBE-GGA
Structure: relaxed

The structure belongs to space group C2/m (No. 12); the cell edges are 9.330, 7.419 and 3.531 Å and the angles 90.00°, 110.23° and 90.00°. The distinct sites, in fractional coordinates, are Ag at (0.000, 0.000, 0.000), H at (0.000, 0.326, 0.000), H at (0.125, 0.161, 0.613), H at (0.141, 0.500, 0.629) and Pt at (0.000, 0.320, 0.500).

The value obtained for the mass density is 7.3 g/cm3. For the electronic total energy, the calculation gives -81.65 eV for the cell shown.

---

Compound: AgH4Pt2
Source: the Alexandria database
Functional: PBE-GGA
Structure: relaxed

The structure belongs to space group Cc (No. 9); the cell edges are 5.486, 12.370 and 5.274 Å and the angles 90.00°, 121.06° and 90.00°. The distinct sites, in fractional coordinates, are Ag at (0.000, 0.180, 0.000), H at (0.146, 0.497, 0.827), H at (0.192, 0.002, 0.852), H at (0.263, 0.329, 0.988), H at (0.285, 0.156, 0.619), Pt at (0.487, 0.431, 0.980) and Pt at (0.498, 0.091, 0.505).

The value obtained for the mass density is 10.9 g/cm3. For the electronic total energy, the calculation gives -111.88 eV for the cell shown.